## TaIn2Pb (PBE)

Data for a relaxed structure of TaIn2Pb.

Results
* total magnetic moment: 0.000 μB/f.u.
* V: 23.0 Å³ per atom
* total DFT energy (no corrections): -38.3 eV for the cell shown
* E_form: 0.47 eV per atom

Unit cell a=4.395 b=4.395 c=9.535 alpha=90.00 beta=90.00 gamma=90.00
Space group I-4m2 (No. 119)
Asymmetric unit:
Ta: 0.000 0.000 0.000 x2
In: 0.000 0.000 0.500 x2
In: 0.000 0.500 0.750 x2
Pb: 0.000 0.500 0.250 x2



## Sc4Ru5 (PBE)

Data for a relaxed structure of Sc4Ru5.

Results
* energy above the lowest structure with this stoichiometry: 0.0 meV per atom
* total magnetic moment: 0.000 μB/f.u.
* V: 16.5 Å³ per atom
* total DFT energy (no corrections): -147.4 eV for the cell shown
* E_form: -0.22 eV per atom

Unit cell a=7.9545 b=7.9545 c=5.4279 alpha=90.00 beta=90.00 gamma=120.00
Space group P6_3/mcm (No. 193)
Asymmetric unit:
Sc: 0.0000 0.0000 0.0000 x2
Sc: 0.0000 0.3825 0.2500 x6
Ru: 0.0000 0.2963 0.7500 x6
Ru: 0.3333 0.6667 0.0000 x4



## Ca2ErZrP4 (PBE)

Data for a relaxed structure of Ca2ErZrP4.

Results
* total magnetic moment: 0.000 μB/f.u.
* V: 22.4 Å³ per atom
* total DFT energy (no corrections): -48.6 eV for the cell shown
* E_form: -1.24 eV per atom

Unit cell a=6.841 b=3.928 c=7.034 alpha=90.00 beta=108.69 gamma=90.00
Space group P2/m (No. 10)
Asymmetric unit:
Ca: 0.000 0.000 0.000 x1
Ca: 0.500 0.500 0.000 x1
Er: 0.000 0.500 0.500 x1
Zr: 0.500 0.000 0.500 x1
P: 0.254 0.000 0.730 x2
P: 0.267 0.500 0.274 x2



## YSbS2 (PBE)

Data for a relaxed structure of YSbS2.

Results
* E_form (uncorrected): -1.172 eV per atom
* total magnetic moment: 0.000 μB/f.u.
* V: 27.7 Å³ per atom
* total DFT energy (no corrections): -70.6 eV for the cell shown

Unit cell a=3.8863 b=3.8863 c=25.4239 alpha=90.00 beta=90.00 gamma=120.00
Space group R-3m (No. 166, hexagonal axes)
Asymmetric unit:
Y: 0.0000 0.0000 0.0000 x3
Sb: 0.0000 0.0000 0.5000 x3
S: 0.0000 0.0000 0.3936 x6



## Tm6Tl2Pd (PBE)

Data for a relaxed structure of Tm6Tl2Pd.

Results
* energy above the lowest structure with this stoichiometry: 184.8 meV per atom
* total magnetic moment: 0.000 μB/f.u.
* V: 29.8 Å³ per atom
* total DFT energy (no corrections): -77.0 eV for the cell shown
* E_form: -0.19 eV per atom

Unit cell a=5.016 b=7.161 c=14.926 alpha=90.00 beta=90.00 gamma=90.00
Space group Immm (No. 71)
Asymmetric unit:
Tm: 0.000 0.231 0.000 x4
Tm: 0.000 0.260 0.343 x8
Tl: 0.000 0.500 0.168 x4
Pd: 0.000 0.500 0.500 x2



## Tm2Zn2Cd (PBE)

Data for a relaxed structure of Tm2Zn2Cd.

Results
* total magnetic moment: 0.000 μB/f.u.
* V: 21.9 Å³ per atom
* total DFT energy (no corrections): -28.1 eV for the cell shown
* E_form: -0.33 eV per atom

Unit cell a=4.391 b=14.046 c=3.551 alpha=90.00 beta=90.00 gamma=90.00
Space group Cmmm (No. 65)
Asymmetric unit:
Tm: 0.000 0.126 0.000 x4
Zn: 0.000 0.298 0.500 x4
Cd: 0.000 0.500 0.500 x2



## HfGaCu2H (PBE)

Data for a relaxed structure of HfGaCu2H.

Results
* energy above the lowest structure with this stoichiometry: 231.1 meV per atom
* total magnetic moment: 0.000 μB/f.u.
* V: 12.6 Å³ per atom
* total DFT energy (no corrections): -24.1 eV for the cell shown

Unit cell a=3.802 b=3.802 c=4.352 alpha=90.00 beta=90.00 gamma=90.00
Space group P4/mmm (No. 123)
Asymmetric unit:
Hf: 0.000 0.000 0.000 x1
Ga: 0.500 0.500 0.000 x1
Cu: 0.000 0.500 0.500 x2
H: 0.500 0.500 0.500 x1



## Ce2Tm7Th2 (PBE)

Data for a relaxed structure of Ce2Tm7Th2.

Results
* total magnetic moment: 2.192 μB/f.u.
* V: 31.8 Å³ per atom
* total DFT energy (no corrections): -109.6 eV for the cell shown
* E_form: 0.29 eV per atom

Unit cell a=9.734 b=11.408 c=6.860 alpha=90.00 beta=113.20 gamma=90.00
Space group C2/m (No. 12)
Asymmetric unit:
Ce: 0.000 0.125 0.000 x4
Tm: 0.000 0.000 0.500 x2
Tm: 0.175 0.248 0.699 x8
Tm: 0.183 0.500 0.981 x4
Th: 0.140 0.500 0.442 x4



## ZnIn2CuBi (PBE)

Data for a relaxed structure of ZnIn2CuBi.

Results
* total magnetic moment: 0.000 μB/f.u.
* V: 27.4 Å³ per atom
* total DFT energy (no corrections): -13.2 eV for the cell shown
* E_form: 0.30 eV per atom

Unit cell a=5.019 b=5.019 c=5.444 alpha=90.00 beta=90.00 gamma=90.00
Space group P4/mmm (No. 123)
Asymmetric unit:
Zn: 0.000 0.000 0.000 x1
In: 0.000 0.500 0.500 x2
Cu: 0.500 0.500 0.500 x1
Bi: 0.500 0.500 0.000 x1



## BaY2Sc (PBE)

Data for a relaxed structure of BaY2Sc.

Results
* energy above the lowest structure with this stoichiometry: 137.6 meV per atom
* total magnetic moment: 0.001 μB/f.u.
* V: 34.7 Å³ per atom
* total DFT energy (no corrections): -40.0 eV for the cell shown
* E_form: 0.29 eV per atom

Unit cell a=3.924 b=5.899 c=11.982 alpha=90.00 beta=90.00 gamma=90.00
Space group Imm2 (No. 44)
Asymmetric unit:
Ba: 0.000 0.000 0.000 x2
Y: 0.000 0.000 0.459 x2
Y: 0.000 0.500 0.214 x2
Sc: 0.000 0.500 0.742 x2



## HoLuHgIr (PBE)

Data for a relaxed structure of HoLuHgIr.

Results
* total magnetic moment: 0.000 μB/f.u.
* V: 21.7 Å³ per atom
* total DFT energy (no corrections): -83.5 eV for the cell shown
* E_form: -0.65 eV per atom

Unit cell a=7.033 b=7.033 c=7.033 alpha=90.00 beta=90.00 gamma=90.00
Space group F-43m (No. 216)
Asymmetric unit:
Ho: 0.000 0.000 0.000 x4
Lu: 0.000 0.000 0.500 x4
Hg: 0.250 0.250 0.750 x4
Ir: 0.250 0.250 0.250 x4



## SmErTcAg (PBE)

Data for a relaxed structure of SmErTcAg.

Results
* total magnetic moment: 0.000 μB/f.u.
* V: 22.1 Å³ per atom
* total DFT energy (no corrections): -91.4 eV for the cell shown
* E_form: -0.08 eV per atom

Unit cell a=7.071 b=7.071 c=7.071 alpha=90.00 beta=90.00 gamma=90.00
Space group F-43m (No. 216)
Asymmetric unit:
Sm: 0.000 0.000 0.000 x4
Er: 0.000 0.000 0.500 x4
Tc: 0.250 0.250 0.250 x4
Ag: 0.250 0.250 0.750 x4



## BaCa2Zn (PBE)

Data for a relaxed structure of BaCa2Zn.

Results
* total magnetic moment: 0.000 μB/f.u.
* V: 38.1 Å³ per atom
* total DFT energy (no corrections): -30.3 eV for the cell shown
* E_form: -0.09 eV per atom

Unit cell a=5.552 b=5.552 c=19.759 alpha=90.00 beta=90.00 gamma=90.00
Space group I4/mmm (No. 139)
Asymmetric unit:
Ba: 0.000 0.000 0.151 x4
Ca: 0.000 0.000 0.342 x4
Ca: 0.000 0.500 0.000 x4
Zn: 0.000 0.500 0.250 x4